A plane-wave DFT calculation with PBE was carried out for a relaxed AcTb6Dy2 crystal.

a = 6.1996 Å, b = 11.8839 Å, c = 11.8839 Å
α = 96.04°, β = 60.82°, γ = 60.82°
Fractional positions:
1 Tb 0.6972 0.9800 0.8339
2 Tb 0.4489 0.4104 0.9125
3 Tb 0.6926 0.3329 0.4819
4 Tb 0.5511 0.5896 0.0875
5 Tb 0.1926 0.4819 0.3329
6 Tb 0.8074 0.5181 0.6671
7 Tb 0.3074 0.6671 0.5181
8 Tb 0.3028 0.0200 0.1661
9 Tb 0.1972 0.8339 0.9800
10 Tb 0.0511 0.0875 0.5896
11 Tb 0.9489 0.9125 0.4104
12 Tb 0.8028 0.1661 0.0200
13 Dy 0.4969 0.1553 0.3456
14 Dy 0.0031 0.6544 0.8447
15 Dy 0.9969 0.3456 0.1553
16 Dy 0.5031 0.8447 0.6544
17 Ac 0.7500 0.7521 0.2479
18 Ac 0.2500 0.2479 0.7521

Properties
Fermi-level density of states = 1.638 states/eV/atom
energy of formation = 0.126 eV/atom
SG = C2/c, No. 15

A plane-wave DFT calculation with PBE was carried out for a relaxed Ac2TbDyTe6 crystal.

a = 8.1019 Å, b = 8.1019 Å, c = 8.4586 Å
α = 61.40°, β = 61.40°, γ = 60.01°
Fractional positions:
1 Te 0.4532 0.6906 0.7636
2 Te 0.6907 0.0927 0.7635
3 Te 0.9546 0.5911 0.2631
4 Te 0.1912 0.9545 0.2631
5 Te 0.0925 0.4533 0.7636
6 Te 0.5912 0.1913 0.2630
7 Ac 0.0225 0.0224 0.9328
8 Ac 0.5226 0.5227 0.4320
9 Dy 0.3218 0.3215 0.0350
10 Tb 0.8213 0.8215 0.5356

Properties
Fermi-level density of states = 0.000 states/eV/atom
uncorrected formation energy = -139.4 kJ/mol of atoms
SG = R3, No. 146

A plane-wave DFT calculation with PBE was carried out for a relaxed AcTbDyTe3 crystal.

a = 4.4219 Å, b = 8.7359 Å, c = 10.9628 Å
α = 106.93°, β = 90.00°, γ = 90.00°
Fractional positions:
1 Te 0.7500 0.9037 0.1061
2 Te 0.2500 0.5129 0.7976
3 Te 0.2500 0.0963 0.8939
4 Te 0.2500 0.7752 0.5394
5 Te 0.7500 0.2248 0.4606
6 Te 0.7500 0.4871 0.2024
7 Dy 0.7500 0.8494 0.3766
8 Dy 0.2500 0.1506 0.6234
9 Ac 0.7500 0.8089 0.7785
10 Ac 0.2500 0.1911 0.2215
11 Tb 0.2500 0.6609 0.0947
12 Tb 0.7500 0.3391 0.9053

Properties
Fermi-level density of states = 0.743 states/eV/atom
uncorrected formation energy = -123.1 kJ/mol of atoms
SG = P2_1/m, No. 11

A plane-wave DFT calculation with PBE was carried out for a relaxed Ac3Tb2DyTe6 crystal.

a = 4.4232 Å, b = 9.3604 Å, c = 10.3234 Å
α = 106.88°, β = 102.37°, γ = 90.00°
Fractional positions:
1 Tb 0.8331 0.6664 0.6661
2 Tb 0.1669 0.3336 0.3339
3 Ac 0.5000 0.5000 0.0000
4 Ac 0.1671 0.8336 0.3341
5 Ac 0.8329 0.1664 0.6659
6 Te 0.3396 0.9026 0.6792
7 Te 0.0056 0.2344 0.0112
8 Te 0.6722 0.5689 0.3444
9 Te 0.6604 0.0974 0.3208
10 Te 0.3278 0.4311 0.6556
11 Te 0.9944 0.7656 0.9888
12 Dy 0.5000 0.0000 0.0000

Properties
Fermi-level density of states = 0.434 states/eV/atom
uncorrected formation energy = -134.4 kJ/mol of atoms
SG = C2/m, No. 12

A plane-wave DFT calculation with PBE was carried out for a relaxed Ac2TbDyTe5 crystal.

a = 5.5425 Å, b = 5.5425 Å, c = 11.6433 Å
α = 90.00°, β = 90.00°, γ = 90.00°
Fractional positions:
1 Te 0.5000 0.5000 0.0000
2 Te 0.0000 0.0000 0.2441
3 Te 0.5000 0.0000 0.5000
4 Te 0.0000 0.5000 0.5000
5 Te 0.0000 0.0000 0.7559
6 Dy 0.0000 0.0000 0.0000
7 Ac 0.5000 0.5000 0.2999
8 Ac 0.5000 0.5000 0.7001
9 Tb 0.0000 0.0000 0.5000

Properties
Fermi-level density of states = 0.758 states/eV/atom
uncorrected formation energy = -94.3 kJ/mol of atoms
SG = P4/mmm, No. 123

A plane-wave DFT calculation with PBE was carried out for a relaxed AcTbDyTl crystal.

a = 5.6261 Å, b = 5.6261 Å, c = 5.6261 Å
α = 60.00°, β = 60.00°, γ = 60.00°
Fractional positions:
1 Ac 0.7500 0.7500 0.7500
2 Tb 0.5000 0.5000 0.5000
3 Dy 0.0000 0.0000 0.0000
4 Tl 0.2500 0.2500 0.2500

Properties
Fermi-level density of states = 1.908 states/eV/atom
energy of formation = 0.050 eV/atom
SG = F-43m, No. 216

A plane-wave DFT calculation with PBE was carried out for a relaxed AcTb6DyTm2 crystal.

a = 9.5133 Å, b = 8.8797 Å, c = 8.8797 Å
α = 117.20°, β = 92.56°, γ = 92.56°
Fractional positions:
1 Tm 0.4507 0.7958 0.6844
2 Tm 0.9507 0.6844 0.7958
3 Tm 0.0493 0.3156 0.2042
4 Tm 0.5493 0.2042 0.3156
5 Tb 0.6800 0.0112 0.5523
6 Tb 0.6163 0.4873 0.7109
7 Tb 0.5563 0.7521 0.1248
8 Tb 0.1163 0.7109 0.4873
9 Tb 0.1800 0.5523 0.0112
10 Tb 0.9437 0.8752 0.2479
11 Tb 0.8200 0.4477 0.9888
12 Tb 0.3837 0.5127 0.2891
13 Tb 0.8837 0.2891 0.5127
14 Tb 0.0563 0.1248 0.7521
15 Tb 0.4437 0.2479 0.8752
16 Tb 0.3200 0.9888 0.4477
17 Dy 0.7500 0.5879 0.4121
18 Dy 0.2500 0.4121 0.5879
19 Ac 0.7500 0.0313 0.9687
20 Ac 0.2500 0.9687 0.0313

Properties
Fermi-level density of states = 1.472 states/eV/atom
energy of formation = 0.129 eV/atom
SG = C2/c, No. 15

A plane-wave DFT calculation with PBE was carried out for a relaxed AcTbDy3Tm crystal.

a = 5.6007 Å, b = 10.1418 Å, c = 7.6863 Å
α = 90.63°, β = 90.00°, γ = 106.03°
Fractional positions:
1 Tb 0.9459 0.8917 0.6900
2 Tb 0.0541 0.1083 0.3100
3 Ac 0.6372 0.2743 0.0229
4 Ac 0.3628 0.7257 0.9771
5 Dy 0.1646 0.3291 0.7041
6 Dy 0.5253 0.0506 0.6958
7 Dy 0.8354 0.6709 0.2959
8 Dy 0.4747 0.9494 0.3042
9 Dy 0.2214 0.4429 0.2482
10 Dy 0.7786 0.5571 0.7518
11 Tm 0.6554 0.3107 0.4467
12 Tm 0.3446 0.6893 0.5533

Properties
Fermi-level density of states = 1.517 states/eV/atom
energy of formation = 0.244 eV/atom
SG = C2/m, No. 12

A plane-wave DFT calculation with PBE was carried out for a relaxed AcTb2Dy5Tm crystal.

a = 8.9816 Å, b = 8.9816 Å, c = 9.8159 Å
α = 117.23°, β = 117.23°, γ = 90.00°
Fractional positions:
1 Dy 0.5000 0.5000 0.0000
2 Dy 0.0000 0.0000 0.0000
3 Dy 0.9248 0.4248 0.2564
4 Dy 0.4248 0.3316 0.2564
5 Dy 0.0752 0.5752 0.7436
6 Dy 0.8316 0.9248 0.2564
7 Dy 0.3316 0.8316 0.2564
8 Dy 0.5752 0.6684 0.7436
9 Dy 0.6684 0.1684 0.7436
10 Dy 0.1684 0.0752 0.7436
11 Tb 0.3869 0.8869 0.0000
12 Tb 0.1131 0.3869 0.0000
13 Tb 0.8869 0.6131 0.0000
14 Tb 0.6131 0.1131 0.0000
15 Tm 0.2500 0.7500 0.5000
16 Tm 0.7500 0.2500 0.5000
17 Ac 0.2500 0.2500 0.5000
18 Ac 0.7500 0.7500 0.5000

Properties
Fermi-level density of states = 1.264 states/eV/atom
energy of formation = 0.284 eV/atom
SG = I4/mcm, No. 140

A plane-wave DFT calculation with PBE was carried out for a relaxed AcTb3Dy6Tm2 crystal.

a = 6.1826 Å, b = 6.1826 Å, c = 11.8505 Å
α = 94.97°, β = 94.97°, γ = 119.97°
Fractional positions:
1 Dy 0.0847 0.4215 0.2532
2 Dy 0.9153 0.5785 0.7468
3 Dy 0.4215 0.0847 0.2532
4 Dy 0.5785 0.9153 0.7468
5 Dy 0.7479 0.7479 0.2535
6 Dy 0.2521 0.2521 0.7465
7 Ac 0.0000 0.0000 0.0000
8 Tm 0.6667 0.3333 0.0000
9 Tm 0.3333 0.6667 0.0000
10 Tb 0.1672 0.8328 0.5000
11 Tb 0.8328 0.1672 0.5000
12 Tb 0.5000 0.5000 0.5000

Properties
Fermi-level density of states = 1.268 states/eV/atom
energy of formation = 0.031 eV/atom
SG = C2/m, No. 12

A plane-wave DFT calculation with PBE was carried out for a relaxed AcTb2DyTm crystal.

a = 5.8005 Å, b = 9.7957 Å, c = 6.3539 Å
α = 109.36°, β = 90.00°, γ = 90.00°
Fractional positions:
1 Dy 0.2500 0.8917 0.3723
2 Dy 0.7500 0.1083 0.6277
3 Tm 0.7500 0.3133 0.2439
4 Tm 0.2500 0.6867 0.7561
5 Tb 0.2500 0.3043 0.5681
6 Tb 0.7500 0.6957 0.4319
7 Tb 0.7500 0.4973 0.8348
8 Tb 0.2500 0.5027 0.1652
9 Ac 0.2500 0.1070 0.9702
10 Ac 0.7500 0.8930 0.0298

Properties
Fermi-level density of states = 1.794 states/eV/atom
energy of formation = 0.044 eV/atom
SG = P2_1/m, No. 11

A plane-wave DFT calculation with PBE was carried out for a relaxed AcTb2Dy6Tm crystal.

a = 9.5036 Å, b = 8.8991 Å, c = 8.8991 Å
α = 117.82°, β = 92.65°, γ = 92.65°
Fractional positions:
1 Dy 0.6835 0.0137 0.5578
2 Dy 0.4426 0.2497 0.8682
3 Dy 0.3165 0.9863 0.4422
4 Dy 0.8165 0.4422 0.9863
5 Dy 0.5574 0.7503 0.1318
6 Dy 0.3839 0.5075 0.2875
7 Dy 0.6161 0.4925 0.7125
8 Dy 0.9426 0.8682 0.2497
9 Dy 0.1161 0.7125 0.4925
10 Dy 0.0574 0.1318 0.7503
11 Dy 0.1835 0.5578 0.0137
12 Dy 0.8839 0.2875 0.5075
13 Tm 0.2500 0.4122 0.5878
14 Tm 0.7500 0.5878 0.4122
15 Tb 0.0486 0.3177 0.2029
16 Tb 0.5486 0.2029 0.3177
17 Tb 0.9514 0.6823 0.7971
18 Tb 0.4514 0.7971 0.6823
19 Ac 0.2500 0.9721 0.0279
20 Ac 0.7500 0.0279 0.9721

Properties
Fermi-level density of states = 1.459 states/eV/atom
energy of formation = 0.129 eV/atom
SG = C2/c, No. 15

Q: Which of these has the highest Fermi-level density of states?
A: AcTbDyTl

Q: Among the records above, which one has the highest Fermi-level density of states?
A: AcTbDyTl

Q: Fermi-level density of states of number 3 (AcTbDyTe3)?
A: 0.743 states/eV/atom

Q: Among the records above, which one has the lowest Fermi-level density of states?
A: Ac2TbDyTe6